Entry 1:
{
  "formula": "TmAg2TeS4",
  "functional": "PBE-GGA",
  "state": "optimized geometry",
  "n_ef_per_ev_fu": 1.55,
  "space_group": "C2/c, No. 15",
  "e_form_raw_mev_per_atom": -574,
  "total_magnetization_mub_per_cell": 0.00,
  "lattice_angstrom": [[5.952, -5.181, 0.000], [5.952, 5.181, 0.000], [-5.148, 0.000, 5.926]],
  "species": ["Tm", "Tm", "Ag", "Ag", "Ag", "Ag", "Te", "Te", "S", "S", "S", "S", "S", "S", "S", "S"],
  "frac_coords": [[0.000, 0.000, 0.000], [0.000, 0.000, 0.500], [0.000, 0.500, 0.000], [0.500, 0.000, 0.500], [0.500, 0.500, 0.000], [0.500, 0.500, 0.500], [0.000, 0.500, 0.500], [0.500, 0.000, 0.000], [0.204, 0.210, 0.956], [0.210, 0.204, 0.456], [0.210, 0.683, 0.443], [0.317, 0.790, 0.057], [0.683, 0.210, 0.943], [0.790, 0.317, 0.557], [0.790, 0.796, 0.544], [0.796, 0.790, 0.044]]
}



Entry 2:
{
  "formula": "Tm2AgTeS3",
  "functional": "PBE-GGA",
  "state": "optimized geometry",
  "n_ef_per_ev_fu": 4.31,
  "space_group": "R-3m, No. 166",
  "e_form_raw_mev_per_atom": -1289,
  "total_magnetization_mub_per_cell": 0.00,
  "lattice_angstrom": [[4.030, 2.326, 6.528], [-4.030, 2.326, 6.528], [0.000, -4.653, 6.528]],
  "species": ["Tm", "Tm", "Tm", "Tm", "Ag", "Ag", "Te", "Te", "S", "S", "S", "S", "S", "S"],
  "frac_coords": [[0.000, 0.000, 0.000], [0.000, 0.000, 0.500], [0.000, 0.500, 0.000], [0.500, 0.000, 0.000], [0.408, 0.408, 0.408], [0.592, 0.592, 0.592], [0.265, 0.265, 0.265], [0.735, 0.735, 0.735], [0.211, 0.760, 0.760], [0.240, 0.240, 0.789], [0.240, 0.789, 0.240], [0.760, 0.211, 0.760], [0.760, 0.760, 0.211], [0.789, 0.240, 0.240]]
}



Entry 3:
{
  "formula": "U2AgTe2S2",
  "functional": "PBE-GGA",
  "state": "optimized geometry",
  "n_ef_per_ev_fu": 16.37,
  "space_group": "P-3m1, No. 164",
  "e_form_raw_mev_per_atom": -815,
  "total_magnetization_mub_per_cell": 5.00,
  "lattice_angstrom": [[4.492, 0.000, 0.000], [-2.246, 3.890, 0.000], [0.000, 0.000, 12.542]],
  "species": ["U", "U", "Ag", "Te", "Te", "S", "S"],
  "frac_coords": [[0.333, 0.667, 0.141], [0.667, 0.333, 0.859], [0.000, 0.000, 0.500], [0.000, 0.000, 0.289], [0.000, 0.000, 0.711], [0.333, 0.667, 0.920], [0.667, 0.333, 0.080]]
}



Entry 4:
{
  "formula": "V3Ag2TeS6",
  "functional": "PBE-GGA",
  "state": "optimized geometry",
  "n_ef_per_ev_fu": 7.73,
  "space_group": "P-62m, No. 189",
  "e_form_raw_mev_per_atom": -717,
  "total_magnetization_mub_per_cell": 0.00,
  "lattice_angstrom": [[5.528, 0.000, 0.000], [-2.764, 4.787, 0.000], [0.000, 0.000, 8.111]],
  "species": ["V", "V", "V", "Ag", "Ag", "Te", "S", "S", "S", "S", "S", "S"],
  "frac_coords": [[0.000, 0.341, 0.000], [0.341, 0.000, 0.000], [0.659, 0.659, 0.000], [0.333, 0.667, 0.500], [0.667, 0.333, 0.500], [0.000, 0.000, 0.500], [0.000, 0.000, 0.173], [0.000, 0.000, 0.827], [0.333, 0.667, 0.182], [0.333, 0.667, 0.818], [0.667, 0.333, 0.182], [0.667, 0.333, 0.818]]
}



Entry 5:
{
  "formula": "Y2AgTeS3",
  "functional": "PBE-GGA",
  "state": "optimized geometry",
  "n_ef_per_ev_fu": 4.28,
  "space_group": "R-3m, No. 166",
  "e_form_raw_mev_per_atom": -1290,
  "total_magnetization_mub_per_cell": 0.00,
  "lattice_angstrom": [[4.064, 2.346, 6.639], [-4.064, 2.346, 6.639], [0.000, -4.692, 6.639]],
  "species": ["Y", "Y", "Y", "Y", "Ag", "Ag", "Te", "Te", "S", "S", "S", "S", "S", "S"],
  "frac_coords": [[0.000, 0.000, 0.000], [0.000, 0.000, 0.500], [0.000, 0.500, 0.000], [0.500, 0.000, 0.000], [0.406, 0.406, 0.406], [0.594, 0.594, 0.594], [0.265, 0.265, 0.265], [0.735, 0.735, 0.735], [0.215, 0.759, 0.759], [0.241, 0.241, 0.785], [0.241, 0.785, 0.241], [0.759, 0.215, 0.759], [0.759, 0.759, 0.215], [0.785, 0.241, 0.241]]
}



Entry 6:
{
  "formula": "YAgTeS",
  "functional": "PBE-GGA",
  "state": "optimized geometry",
  "n_ef_per_ev_fu": 0.00,
  "space_group": "R-3m, No. 166",
  "e_form_raw_mev_per_atom": -1168,
  "total_magnetization_mub_per_cell": 0.00,
  "lattice_angstrom": [[2.269, 1.310, 11.680], [-2.269, 1.310, 11.680], [0.000, -2.620, 11.680]],
  "species": ["Y", "Y", "Ag", "Ag", "Te", "Te", "S", "S"],
  "frac_coords": [[0.117, 0.117, 0.117], [0.883, 0.883, 0.883], [0.311, 0.311, 0.311], [0.689, 0.689, 0.689], [0.393, 0.393, 0.393], [0.607, 0.607, 0.607], [0.196, 0.196, 0.196], [0.804, 0.804, 0.804]]
}



Entry 7:
{
  "formula": "YAg2TeS4",
  "functional": "PBE-GGA",
  "state": "optimized geometry",
  "n_ef_per_ev_fu": 1.73,
  "space_group": "C2/c, No. 15",
  "e_form_raw_mev_per_atom": -574,
  "total_magnetization_mub_per_cell": 0.00,
  "lattice_angstrom": [[5.984, -5.207, 0.000], [5.984, 5.207, 0.000], [-5.278, 0.000, 5.956]],
  "species": ["Y", "Y", "Ag", "Ag", "Ag", "Ag", "Te", "Te", "S", "S", "S", "S", "S", "S", "S", "S"],
  "frac_coords": [[0.000, 0.000, 0.000], [0.000, 0.000, 0.500], [0.000, 0.500, 0.000], [0.500, 0.000, 0.500], [0.500, 0.500, 0.000], [0.500, 0.500, 0.500], [0.000, 0.500, 0.500], [0.500, 0.000, 0.000], [0.208, 0.214, 0.960], [0.208, 0.677, 0.946], [0.214, 0.208, 0.460], [0.323, 0.792, 0.554], [0.677, 0.208, 0.446], [0.786, 0.792, 0.540], [0.792, 0.323, 0.054], [0.792, 0.786, 0.040]]
}



Entry 8:
{
  "formula": "ThAg2S4",
  "functional": "PBE-GGA",
  "state": "optimized geometry",
  "n_ef_per_ev_fu": 2.82,
  "space_group": "Cmcm, No. 63",
  "e_form_raw_mev_per_atom": -743,
  "total_magnetization_mub_per_cell": 0.00,
  "lattice_angstrom": [[2.022, -6.459, 0.000], [2.022, 6.459, 0.000], [0.000, 0.000, 11.777]],
  "species": ["Th", "Th", "Ag", "Ag", "Ag", "Ag", "S", "S", "S", "S", "S", "S", "S", "S"],
  "frac_coords": [[0.097, 0.903, 0.750], [0.903, 0.097, 0.250], [0.371, 0.629, 0.561], [0.371, 0.629, 0.939], [0.629, 0.371, 0.061], [0.629, 0.371, 0.439], [0.000, 0.000, 0.000], [0.000, 0.000, 0.500], [0.293, 0.707, 0.127], [0.293, 0.707, 0.373], [0.446, 0.554, 0.750], [0.554, 0.446, 0.250], [0.707, 0.293, 0.627], [0.707, 0.293, 0.873]]
}



Entry 9:
{
  "formula": "Th2AgS",
  "functional": "PBE-GGA",
  "state": "optimized geometry",
  "n_ef_per_ev_fu": 3.34,
  "space_group": "R3m, No. 160",
  "e_form_raw_mev_per_atom": -787,
  "total_magnetization_mub_per_cell": 0.00,
  "lattice_angstrom": [[3.978, 0.000, 0.000], [-1.989, 3.445, 0.000], [0.000, 0.000, 23.153]],
  "species": ["Th", "Th", "Th", "Th", "Th", "Th", "Ag", "Ag", "Ag", "S", "S", "S"],
  "frac_coords": [[0.000, 0.000, 0.000], [0.000, 0.000, 0.189], [0.333, 0.667, 0.667], [0.333, 0.667, 0.856], [0.667, 0.333, 0.333], [0.667, 0.333, 0.523], [0.000, 0.000, 0.427], [0.333, 0.667, 0.094], [0.667, 0.333, 0.761], [0.000, 0.000, 0.595], [0.333, 0.667, 0.262], [0.667, 0.333, 0.928]]
}



Entry 10:
{
  "formula": "ThAgS2",
  "functional": "PBE-GGA",
  "state": "optimized geometry",
  "n_ef_per_ev_fu": 3.98,
  "space_group": "R-3m, No. 166",
  "e_form_raw_mev_per_atom": -1092,
  "total_magnetization_mub_per_cell": 0.00,
  "lattice_angstrom": [[4.097, 0.000, 0.000], [-2.049, 3.548, 0.000], [0.000, 0.000, 23.773]],
  "species": ["Th", "Th", "Th", "Ag", "Ag", "Ag", "S", "S", "S", "S", "S", "S"],
  "frac_coords": [[0.000, 0.000, 0.000], [0.333, 0.667, 0.667], [0.667, 0.333, 0.333], [0.000, 0.000, 0.500], [0.333, 0.667, 0.167], [0.667, 0.333, 0.833], [0.000, 0.000, 0.399], [0.000, 0.000, 0.601], [0.333, 0.667, 0.065], [0.333, 0.667, 0.268], [0.667, 0.333, 0.732], [0.667, 0.333, 0.935]]
}



Entry 11:
{
  "formula": "ThAgS3",
  "functional": "PBE-GGA",
  "state": "optimized geometry",
  "n_ef_per_ev_fu": 3.77,
  "space_group": "Pmc2_1, No. 26",
  "e_form_raw_mev_per_atom": -1053,
  "total_magnetization_mub_per_cell": 0.00,
  "lattice_angstrom": [[4.044, 0.000, 0.000], [0.000, 8.417, 0.000], [0.000, 0.000, 7.252]],
  "species": ["Th", "Th", "Ag", "Ag", "S", "S", "S", "S", "S", "S"],
  "frac_coords": [[0.000, 0.110, 0.000], [0.000, 0.890, 0.500], [0.500, 0.393, 0.676], [0.500, 0.607, 0.176], [0.000, 0.217, 0.627], [0.000, 0.783, 0.127], [0.500, 0.057, 0.289], [0.500, 0.349, 0.021], [0.500, 0.651, 0.521], [0.500, 0.943, 0.789]]
}



Entry 12:
{
  "formula": "ThTlAg2S4",
  "functional": "PBE-GGA",
  "state": "optimized geometry",
  "n_ef_per_ev_fu": 4.66,
  "space_group": "I222, No. 23",
  "e_form_raw_mev_per_atom": -663,
  "total_magnetization_mub_per_cell": 0.00,
  "lattice_angstrom": [[6.956, 0.000, 0.000], [0.000, 7.176, 0.000], [0.000, 0.000, 7.600]],
  "species": ["Th", "Th", "Tl", "Tl", "Ag", "Ag", "Ag", "Ag", "S", "S", "S", "S", "S", "S", "S", "S"],
  "frac_coords": [[0.000, 0.000, 0.000], [0.500, 0.500, 0.500], [0.000, 0.000, 0.500], [0.500, 0.500, 0.000], [0.000, 0.500, 0.301], [0.000, 0.500, 0.699], [0.500, 0.000, 0.199], [0.500, 0.000, 0.801], [0.233, 0.227, 0.805], [0.233, 0.773, 0.195], [0.267, 0.273, 0.305], [0.267, 0.727, 0.695], [0.733, 0.273, 0.695], [0.733, 0.727, 0.305], [0.767, 0.227, 0.195], [0.767, 0.773, 0.805]]
}